Record 1
VASP calculation (PBEsol) on crystalline Mn2SiIr at its relaxed geometry.

* V: 12.30 A^3/atom
* formation energy (no corrections): -0.31 eV per atom

Cell lengths 3.6059, 3.6059, 3.7830 Å; angles 90.00, 90.00, 90.00 degrees
With the nearest neighbours (Å) after each atom.
Positions (direct):
Mn  0.0000  0.5000  0.0000  4 Mn 2.55, 4 Ir 2.61, 4 Si 2.61
Mn  0.5000  0.0000  0.0000  4 Mn 2.55, 4 Ir 2.61, 4 Si 2.61
Si  0.0000  0.0000  0.5000  4 Ir 2.55, 8 Mn 2.61
Ir  0.5000  0.5000  0.5000  4 Si 2.55, 8 Mn 2.61

Record 2
VASP calculation (PBEsol) on crystalline Mn2SiIr at its relaxed geometry.

* V: 11.90 A^3/atom
* formation energy (no corrections): -0.31 eV per atom

Cell lengths 2.8672, 2.8672, 5.7886 Å; angles 90.00, 90.00, 90.00 degrees
With the nearest neighbours (Å) after each atom.
Positions (direct):
Mn  0.0000  0.0000  0.0000  4 Mn 2.42, 1 Si 2.63, 4 Ir 2.65
Mn  0.5000  0.5000  0.2270  4 Si 2.42, 4 Mn 2.42
Si  0.0000  0.0000  0.4538  5 Mn 2.42-2.63, 4 Ir 2.50
Ir  0.5000  0.5000  0.7063  4 Si 2.50, 5 Mn 2.65-2.77

Record 3
VASP calculation (PBEsol) on crystalline Mn2SiIr at its relaxed geometry.

* V: 11.97 A^3/atom
* formation energy (no corrections): -0.37 eV per atom

Cell lengths 4.0754, 4.0754, 4.0754 Å; angles 60.00, 60.00, 60.00 degrees
With the nearest neighbours (Å) after each atom.
Positions (direct):
Mn  0.0000  0.0000  0.0000  4 Mn 2.50, 4 Si 2.50
Mn  0.2500  0.2500  0.2500  4 Mn 2.50, 4 Ir 2.50
Si  0.7500  0.7500  0.7500  4 Ir 2.50, 4 Mn 2.50
Ir  0.5000  0.5000  0.5000  4 Mn 2.50, 4 Si 2.50

Record 4
VASP calculation (PBEsol) on crystalline MnSiIr2 at its relaxed geometry.

* V: 12.98 A^3/atom
* formation energy (no corrections): -0.26 eV per atom

Cell lengths 3.8362, 5.1832, 5.1832 Å; angles 30.24, 90.00, 90.00 degrees
With the nearest neighbours (Å) after each atom.
Positions (direct):
Mn  0.0000  0.0000  0.0000  4 Si 2.55, 7 Ir 2.63-2.73, 2 Mn 2.70
Si  0.5000  0.3991  0.3991  3 Ir 2.30-2.35, 4 Mn 2.55
Ir  0.0000  0.2628  0.2628  2 Si 2.35, 1 Mn 2.63
Ir  0.5000  0.6291  0.6291  1 Si 2.30

Record 5
VASP calculation (PBEsol) on crystalline MnSiIr2 at its relaxed geometry.

* V: 12.88 A^3/atom
* formation energy (no corrections): -0.26 eV per atom

Cell lengths 4.5886, 4.5886, 4.5886 Å; angles 132.50, 132.50, 69.44 degrees
With the nearest neighbours (Å) after each atom.
Positions (direct):
Mn  0.0000  0.0000  0.0000  8 Ir 2.61-2.64, 4 Si 2.64
Si  0.7500  0.2500  0.5000  8 Ir 2.61-2.64, 4 Mn 2.64
Ir  0.2500  0.7500  0.5000  4 Si 2.61, 4 Ir 2.64, 4 Mn 2.64
Ir  0.5000  0.5000  0.0000  4 Mn 2.61, 4 Ir 2.64, 4 Si 2.64

Record 6
VASP calculation (PBEsol) on crystalline MnSiIr2 at its relaxed geometry.

* V: 13.02 A^3/atom
* formation energy (no corrections): -0.36 eV per atom

Cell lengths 4.3662, 4.3662, 2.7897 Å; angles 90.00, 90.00, 101.75 degrees
With the nearest neighbours (Å) after each atom.
Positions (direct):
Mn  0.0000  0.0000  0.0000  8 Ir 2.59, 2 Si 2.76, 2 Mn 2.79
Si  0.5000  0.5000  0.0000  8 Ir 2.59, 2 Mn 2.76, 2 Si 2.79
Ir  0.0000  0.5000  0.5000  4 Mn 2.59, 4 Si 2.59, 4 Ir 2.76-2.79
Ir  0.5000  0.0000  0.5000  4 Mn 2.59, 4 Si 2.59, 4 Ir 2.76-2.79

Record 7
VASP calculation (PBEsol) on crystalline TaMn2Ir at its relaxed geometry.

* V: 13.64 A^3/atom
* formation energy from the elements: -0.19 eV per atom

Cell lengths 4.6861, 4.6861, 4.6861 Å; angles 132.68, 132.68, 69.15 degrees
With the nearest neighbours (Å) after each atom.
Positions (direct):
Ta  0.0000  0.0000  0.0000  8 Mn 2.66-2.69, 4 Ir 2.69
Mn  0.2500  0.7500  0.5000  4 Ir 2.66, 4 Ta 2.69, 4 Mn 2.69
Mn  0.5000  0.5000  0.0000  4 Ta 2.66, 4 Ir 2.69, 4 Mn 2.69
Ir  0.7500  0.2500  0.5000  8 Mn 2.66-2.69, 4 Ta 2.69

Record 8
VASP calculation (PBEsol) on crystalline Ta3MnIr at its relaxed geometry.

* V: 17.56 A^3/atom
* formation energy from the elements: 0.84 eV per atom

Cell lengths 4.4445, 4.4445, 4.4445 Å; angles 90.00, 90.00, 90.00 degrees
With the nearest neighbours (Å) after each atom.
Positions (direct):
Ta  0.0000  0.0000  0.5000  2 Mn 2.22
Ta  0.0000  0.5000  0.0000  2 Mn 2.22
Ta  0.5000  0.0000  0.0000  2 Mn 2.22
Mn  0.0000  0.0000  0.0000  6 Ta 2.22
Ir  0.5000  0.5000  0.5000  12 Ta 3.14

Record 9
VASP calculation (PBEsol) on crystalline TaMnIr2 at its relaxed geometry.

* V: 14.24 A^3/atom
* formation energy from the elements: -0.39 eV per atom

Cell lengths 4.7663, 4.7663, 4.7663 Å; angles 132.95, 132.95, 68.74 degrees
With the nearest neighbours (Å) after each atom.
Positions (direct):
Ta  0.0000  0.0000  0.0000  8 Ir 2.69-2.74, 4 Mn 2.74
Mn  0.7500  0.2500  0.5000  8 Ir 2.69-2.74, 4 Ta 2.74
Ir  0.2500  0.7500  0.5000  4 Mn 2.69, 4 Ta 2.74, 4 Ir 2.74
Ir  0.5000  0.5000  0.0000  4 Ta 2.69, 4 Ir 2.74, 4 Mn 2.74

Record 10
VASP calculation (PBEsol) on crystalline Ta2MnIr at its relaxed geometry.

* V: 15.21 A^3/atom
* formation energy from the elements: -0.20 eV per atom

Cell lengths 4.9233, 4.9233, 4.9233 Å; angles 138.43, 128.58, 68.17 degrees
With the nearest neighbours (Å) after each atom.
Positions (direct):
Ta  0.2502  0.2502  0.0000  4 Mn 2.68-2.95, 4 Ir 2.69-2.95, 4 Ta 2.76
Ta  0.7498  0.7498  0.0000  4 Mn 2.68-2.95, 4 Ir 2.69-2.95, 4 Ta 2.76
Mn  0.5000  0.0000  0.5000  8 Ta 2.68-2.95, 4 Ir 2.76
Ir  0.0000  0.5000  0.5000  8 Ta 2.69-2.95, 4 Mn 2.76

Record 11
VASP calculation (PBEsol) on crystalline TaMnIr2 at its relaxed geometry.

* V: 14.58 A^3/atom
* formation energy from the elements: -0.04 eV per atom

Cell lengths 4.3526, 4.3526, 4.3526 Å; angles 60.00, 60.00, 60.00 degrees
With the nearest neighbours (Å) after each atom.
Positions (direct):
Ta  0.0000  0.0000  0.0000  4 Mn 2.67, 4 Ir 2.67
Mn  0.7500  0.7500  0.7500  4 Ta 2.67, 4 Ir 2.67
Ir  0.2500  0.2500  0.2500  4 Ta 2.67, 4 Ir 2.67
Ir  0.5000  0.5000  0.5000  4 Mn 2.67, 4 Ir 2.67

Record 12
VASP calculation (PBEsol) on crystalline TaMn4Ir at its relaxed geometry.

* V: 12.01 A^3/atom
* formation energy from the elements: -0.20 eV per atom

Cell lengths 4.6713, 4.6713, 4.6713 Å; angles 60.00, 60.00, 60.00 degrees
With the nearest neighbours (Å) after each atom.
Positions (direct):
Ta  0.0000  0.0000  0.0000  12 Mn 2.74, 4 Ir 2.86
Mn  0.1309  0.6230  0.6230  6 Mn 2.30-2.37
Mn  0.6230  0.1309  0.6230  6 Mn 2.30-2.37
Mn  0.6230  0.6230  0.1309  6 Mn 2.30-2.37
Mn  0.6230  0.6230  0.6230  6 Mn 2.30-2.37
Ir  0.2500  0.2500  0.2500  12 Mn 2.74, 4 Ta 2.86

Question: Look up the V of the first one.
Answer: 12.30 A^3/atom

Question: The highest V belongs to which entry?
Answer: Ta3MnIr

Question: What is the V in the second record?
Answer: 11.90 A^3/atom